# CaZrBe2

A relaxed CaZrBe2 crystal (PBE-GGA, Alexandria via LeMat-Bulk).

Structure (extended XYZ):
```
4
Lattice="6.643 -0.003 -0.002 5.515 3.703 -0.002 5.515 1.678 3.301" Properties=species:S:1:pos:R:3 pbc="T T T"
Be 12.295 3.742 2.294
Be 0.547 0.166 0.102
Zr 5.231 1.592 0.976
Ca 8.439 2.568 1.574
```

Values from the calculation:
SG: No. 160
E in Ry/atom: -0.321
Offset from the most stable computed form in meV per atom: 0
ρ in Mg/m³: 3.051
Total magnetic moment in μB/cell: 0.00
E_form in meV/atom: 133